{"formula": "CsCa2InF8", "functional": "PBE", "state": "optimized geometry", "space_group": "P-1, No. 2", "formation_energy_uncorrected_mev_per_atom": -3200, "energy_ev_per_cell": -61.0, "density_g_cm3": 3.6, "lattice": [[5.346, 0.000, 0.000], [0.143, 5.386, 0.000], [0.039, 0.055, 7.596]], "species": ["Cs", "Ca", "Ca", "In", "F", "F", "F", "F", "F", "F", "F", "F"], "frac_coords": [[0.000, 0.000, 0.000], [0.500, 0.500, 0.252], [0.500, 0.500, 0.748], [0.000, 0.000, 0.500], [0.179, 0.770, 0.688], [0.184, 0.774, 0.313], [0.303, 0.266, 0.500], [0.412, 0.289, 0.002], [0.588, 0.711, 0.998], [0.697, 0.734, 0.500], [0.816, 0.226, 0.687], [0.821, 0.230, 0.312]]}